[1]
The following is a DFT calculation (PBE) of a relaxed Rb2SiI6F crystal.

## Properties
Uncorrected formation energy (eV/atom): -0.7724
Magnetization (μB per formula unit): 0.00

Cell: 8.395 8.395 8.395 Å, 126.15 126.15 79.64°
Fractional positions:
Rb: 0.250 0.750 0.500
Rb: 0.750 0.250 0.500
Si: 0.000 0.000 0.000
I: 0.218 0.218 0.000
I: 0.248 0.248 0.496
I: 0.248 0.752 0.000
I: 0.752 0.248 0.000
I: 0.752 0.752 0.504
I: 0.782 0.782 0.000
F: 0.500 0.500 0.000

=====

[2]
The following is a DFT calculation (PBE) of a relaxed EuHfS3 crystal.

## Properties
Uncorrected formation energy (eV/atom): -1.6214
Magnetization (μB per formula unit): 6.97

Cell: 4.950 4.950 4.950 Å, 90.00 90.00 90.00°
Fractional positions:
Eu: 0.000 0.000 0.000
Hf: 0.500 0.500 0.500
S: 0.000 0.500 0.500
S: 0.500 0.000 0.500
S: 0.500 0.500 0.000

=====

[3]
The following is a DFT calculation (PBE) of a relaxed LaRuO2 crystal.

## Properties
Uncorrected formation energy (eV/atom): -1.7619
Magnetization (μB per formula unit): 2.88

Cell: 6.253 6.253 6.253 Å, 35.58 35.58 35.58°
Fractional positions:
La: 0.000 0.000 0.000
Ru: 0.500 0.500 0.500
O: 0.389 0.389 0.389
O: 0.611 0.611 0.611

=====

[4]
The following is a DFT calculation (PBE) of a relaxed LiHfNiSn crystal.

## Properties
ΔE_f (eV/atom): -0.352
Magnetization (μB per formula unit): 0.00

Cell: 4.479 4.479 4.479 Å, 60.00 60.00 60.00°
Fractional positions:
Li: 0.000 0.000 0.000
Hf: 0.250 0.250 0.250
Ni: 0.500 0.500 0.500
Sn: 0.750 0.750 0.750

=====

[5]
The following is a DFT calculation (PBE) of a relaxed Ce8Ru3SBr4 crystal.

## Properties
Uncorrected formation energy (eV/atom): -0.9795
Magnetization (μB per formula unit): 7.35

Cell: 8.885 8.885 8.885 Å, 54.38 54.38 54.38°
Fractional positions:
Ce: 0.230 0.735 0.735
Ce: 0.233 0.233 0.233
Ce: 0.265 0.265 0.770
Ce: 0.265 0.770 0.265
Ce: 0.735 0.230 0.735
Ce: 0.735 0.735 0.230
Ce: 0.767 0.767 0.767
Ce: 0.770 0.265 0.265
Ru: 0.000 0.000 0.500
Ru: 0.000 0.500 0.000
Ru: 0.500 0.000 0.000
S: 0.500 0.500 0.500
Br: 0.000 0.000 0.000
Br: 0.000 0.500 0.500
Br: 0.500 0.000 0.500
Br: 0.500 0.500 0.000

=====

[6]
The following is a DFT calculation (PBE) of a relaxed YTa2Ir crystal.

## Properties
ΔE_f (eV/atom): -0.183
Magnetization (μB per formula unit): 0.00

Cell: 3.121 3.121 8.161 Å, 90.00 90.00 90.00°
Fractional positions:
Y: 0.000 0.000 0.000
Ta: 0.000 0.000 0.455
Ta: 0.500 0.500 0.695
Ir: 0.500 0.500 0.268

=====

[7]
The following is a DFT calculation (PBE) of a relaxed TaTl2Cr crystal.

## Properties
ΔE_f (eV/atom): 0.725
Magnetization (μB per formula unit): 3.86

Cell: 5.320 5.320 3.068 Å, 90.00 90.00 109.71°
Fractional positions:
Ta: 0.000 0.000 0.000
Tl: 0.000 0.500 0.500
Tl: 0.500 0.000 0.500
Cr: 0.500 0.500 0.000

=====

[8]
The following is a DFT calculation (PBE) of a relaxed RbTlGe crystal.

## Properties
ΔE_f (eV/atom): -0.022
Magnetization (μB per formula unit): 0.00

Cell: 4.759 7.456 7.458 Å, 110.30 102.43 102.74°
Fractional positions:
Rb: 0.000 0.000 0.000
Rb: 0.495 0.640 0.361
Tl: 0.265 0.553 0.796
Tl: 0.733 0.206 0.447
Ge: 0.275 0.105 0.624
Ge: 0.720 0.373 0.894

=====

[9]
The following is a DFT calculation (PBE) of a relaxed Pr2YTm3Sb6 crystal.

## Properties
Uncorrected formation energy (eV/atom): -1.1175
Magnetization (μB per formula unit): 0.00

Cell: 9.881 9.881 8.838 Å, 102.81 102.81 25.88°
Fractional positions:
Pr: 0.166 0.166 0.332
Pr: 0.834 0.834 0.668
Y: 0.500 0.500 0.000
Tm: 0.168 0.168 0.834
Tm: 0.500 0.500 0.500
Tm: 0.832 0.832 0.166
Sb: 0.004 0.004 0.750
Sb: 0.333 0.333 0.927
Sb: 0.336 0.336 0.409
Sb: 0.664 0.664 0.591
Sb: 0.667 0.667 0.073
Sb: 0.996 0.996 0.250